[1]
VASP calculation (PBE) on crystalline AcBiSbO6 at its relaxed geometry.

It has space group P-31c (No. 163), with a = 5.6531 Å, b = 5.6531 Å, c = 10.6901 Å, α = 90.00°, β = 90.00° and γ = 120.00°. The inequivalent atoms are Ac at (0.0000, 0.0000, 0.0000), Bi at (0.3333, 0.6667, 0.2500), Sb at (0.3333, 0.6667, 0.7500) and O at (0.0320, 0.3812, 0.6412).

As for the size of the total moment: 1.30 μB per cell. The calculation puts the energy relative to the elements, uncorrected at -1.881 eV per atom.

=====

[2]
VASP calculation (PBE) on crystalline Ac2BiSbO6 at its relaxed geometry.

It has space group P4mm (No. 99), with a = 5.3255 Å, b = 5.3255 Å, c = 6.9268 Å, α = 90.00°, β = 90.00° and γ = 90.00°. The inequivalent atoms are Ac at (0.0000, 0.5000, 0.0000), Bi at (0.0000, 0.0000, 0.5778), Sb at (0.5000, 0.5000, 0.6075), O at (0.0000, 0.0000, 0.0978), O at (0.2526, 0.2526, 0.7372) and O at (0.5000, 0.5000, 0.0719).

As for the size of the total moment: 0.00 μB per cell. The calculation puts the energy relative to the elements, uncorrected at -2.154 eV per atom.

=====

[3]
VASP calculation (PBE) on crystalline AcBiSbO at its relaxed geometry.

It has space group I4mm (No. 107), with a = 3.5015 Å, b = 3.5015 Å, c = 17.3370 Å, α = 90.00°, β = 90.00° and γ = 90.00°. The inequivalent atoms are Ac at (0.0000, 0.0000, 0.0000), Bi at (0.0000, 0.0000, 0.3089), Sb at (0.0000, 0.0000, 0.6629) and O at (0.0000, 0.0000, 0.4665).

As for the size of the total moment: 0.00 μB per cell. The calculation puts the energy relative to the elements, uncorrected at -1.182 eV per atom.

=====

[4]
VASP calculation (PBE) on crystalline Ac2BiSb2O2 at its relaxed geometry.

It has space group P-3m1 (No. 164), with a = 4.0115 Å, b = 4.0115 Å, c = 15.0512 Å, α = 90.00°, β = 90.00° and γ = 120.00°. The inequivalent atoms are Ac at (0.3333, 0.6667, 0.1117), Bi at (0.0000, 0.0000, 0.5000), Sb at (0.0000, 0.0000, 0.2926) and O at (0.3333, 0.6667, 0.9371).

As for the size of the total moment: 0.00 μB per cell. The calculation puts the energy relative to the elements, uncorrected at -1.557 eV per atom.

=====

[5]
VASP calculation (PBE) on crystalline AcScBiO5 at its relaxed geometry.

It has space group C2/c (No. 15), with a = 8.0029 Å, b = 8.9726 Å, c = 8.1667 Å, α = 90.00°, β = 115.06° and γ = 90.00°. The inequivalent atoms are Ac at (0.0000, 0.0717, 0.2500), Sc at (0.2500, 0.2500, 0.0000), Bi at (0.0000, 0.4858, 0.2500), O at (0.0000, 0.2358, 0.7500), O at (0.0655, 0.3142, 0.1102) and O at (0.2021, 0.0293, 0.0600).

As for the size of the total moment: 0.04 μB per cell. The calculation puts the energy relative to the elements, uncorrected at -2.421 eV per atom.

=====

[6]
VASP calculation (PBE) on crystalline Ac2ScBiO6 at its relaxed geometry.

It has space group P4mm (No. 99), with a = 5.6989 Å, b = 5.6989 Å, c = 5.4500 Å, α = 90.00°, β = 90.00° and γ = 90.00°. The inequivalent atoms are Ac at (0.0000, 0.5000, 0.0000), Sc at (0.0000, 0.0000, 0.5847), Bi at (0.5000, 0.5000, 0.5623), O at (0.0000, 0.0000, 0.2209), O at (0.2389, 0.2389, 0.7321) and O at (0.5000, 0.5000, 0.1415).

As for the size of the total moment: 0.00 μB per cell. The calculation puts the energy relative to the elements, uncorrected at -2.750 eV per atom.

=====

[7]
VASP calculation (PBE) on crystalline AcBiSeO2 at its relaxed geometry.

It has space group P2_1/m (No. 11), with a = 6.9976 Å, b = 4.2135 Å, c = 8.0386 Å, α = 90.00°, β = 106.05° and γ = 90.00°. The inequivalent atoms are Ac at (0.1939, 0.2500, 0.4126), Bi at (0.1831, 0.2500, 0.9286), Se at (0.4451, 0.7500, 0.2370), O at (0.0064, 0.2500, 0.6359) and O at (0.0239, 0.7500, 0.8909).

As for the size of the total moment: 0.00 μB per cell. The calculation puts the energy relative to the elements, uncorrected at -1.992 eV per atom.

=====

[8]
VASP calculation (PBE) on crystalline Ac2SmBi2O2 at its relaxed geometry.

It has space group I4/mmm (No. 139), with a = 4.6140 Å, b = 4.6140 Å, c = 17.4722 Å, α = 90.00°, β = 90.00° and γ = 90.00°. The inequivalent atoms are Ac at (0.0000, 0.0000, 0.1124), Sm at (0.0000, 0.0000, 0.5000), Bi at (0.0000, 0.0000, 0.3114) and O at (0.0000, 0.5000, 0.0000).

As for the size of the total moment: 0.00 μB per cell. The calculation puts the energy relative to the elements, uncorrected at -1.851 eV per atom.